Compound: Rb2ZnSnCl6
Source: Alexandria via LeMat-Bulk
Functional: GGA-PBE
Structure: optimized geometry

Structure (CIF):
```
data_Rb2ZnSnCl6
_symmetry_space_group_name_H-M 'P 1'
_symmetry_Int_Tables_number 1
_cell_length_a 8.570
_cell_length_b 7.844
_cell_length_c 7.943
_cell_angle_alpha 64.02
_cell_angle_beta 53.39
_cell_angle_gamma 53.31
loop_
_symmetry_equiv_pos_as_xyz
'x,y,z'
loop_
_atom_site_label
_atom_site_fract_x
_atom_site_fract_y
_atom_site_fract_z
_atom_site_occupancy
Cl1 0.990 0.509 0.791 1
Cl2 0.552 0.168 0.275 1
Cl3 0.572 0.149 0.806 1
Cl4 0.525 0.684 0.736 1
Cl5 0.186 0.996 0.338 1
Cl6 0.049 0.566 0.201 1
Rb1 0.016 0.052 0.821 1
Rb2 0.616 0.514 0.341 1
Sn1 0.814 0.801 0.554 1
Zn1 0.340 0.223 0.151 1
```

Properties
Its uncorrected formation energy is -1.455 eV per atom.

=====

Compound: LiPm3Tl3
Source: Alexandria via LeMat-Bulk
Functional: GGA-PBE
Structure: optimized geometry

Structure (CIF):
```
data_LiPm3Tl3
_symmetry_space_group_name_H-M 'P 1'
_symmetry_Int_Tables_number 1
_cell_length_a 6.912
_cell_length_b 6.912
_cell_length_c 8.876
_cell_angle_alpha 93.54
_cell_angle_beta 93.54
_cell_angle_gamma 106.34
loop_
_symmetry_equiv_pos_as_xyz
'x,y,z'
loop_
_atom_site_label
_atom_site_fract_x
_atom_site_fract_y
_atom_site_fract_z
_atom_site_occupancy
Tl1 0.882 0.554 0.725 1
Tl2 0.554 0.882 0.725 1
Tl3 0.118 0.446 0.275 1
Tl4 0.038 0.038 0.801 1
Tl5 0.962 0.962 0.199 1
Tl6 0.446 0.118 0.275 1
Pm1 0.618 0.618 0.338 1
Pm2 0.177 0.823 0.500 1
Pm3 0.750 0.250 0.000 1
Pm4 0.823 0.177 0.500 1
Pm5 0.250 0.750 0.000 1
Pm6 0.382 0.382 0.662 1
Li1 0.275 0.275 0.040 1
Li2 0.725 0.725 0.960 1
```

Properties
For the formation energy, the calculation gives -0.2375 eV per atom.

=====

What did the first record say?
Compound: Rb2ZnSnCl6
Source: Alexandria via LeMat-Bulk
Functional: GGA-PBE
Structure: optimized geometry

Structure (CIF):
```
data_Rb2ZnSnCl6
_symmetry_space_group_name_H-M 'P 1'
_symmetry_Int_Tables_number 1
_cell_length_a 8.570
_cell_length_b 7.844
_cell_length_c 7.943
_cell_angle_alpha 64.02
_cell_angle_beta 53.39
_cell_angle_gamma 53.31
loop_
_symmetry_equiv_pos_as_xyz
'x,y,z'
loop_
_atom_site_label
_atom_site_fract_x
_atom_site_fract_y
_atom_site_fract_z
_atom_site_occupancy
Cl1 0.990 0.509 0.791 1
Cl2 0.552 0.168 0.275 1
Cl3 0.572 0.149 0.806 1
Cl4 0.525 0.684 0.736 1
Cl5 0.186 0.996 0.338 1
Cl6 0.049 0.566 0.201 1
Rb1 0.016 0.052 0.821 1
Rb2 0.616 0.514 0.341 1
Sn1 0.814 0.801 0.554 1
Zn1 0.340 0.223 0.151 1
```

Properties
Its uncorrected formation energy is -1.455 eV per atom.